# 1
VASP calculation (GGA-PBE) on MnPtW2N after structural relaxation.

Cell lengths 4.0829, 4.0829, 3.8727 Å; angles 90.00, 90.00, 90.00 degrees
Space group P4/mmm (No. 123)
One atom of each set of equivalent atoms:
Mn (0.0000, 0.0000, 0.0000) [1 per cell]
Pt (0.5000, 0.5000, 0.0000) [1 per cell]
W (0.0000, 0.5000, 0.5000) [2 per cell]
N (0.0000, 0.0000, 0.5000) [1 per cell]

density of states at the Fermi level = 4.303 states/eV/f.u.
final energy = -10.0351 eV/atom

---

# 2
VASP calculation (GGA-PBE) on TmCdCu after structural relaxation.

Cell lengths 6.4874, 6.4874, 6.4874 Å; angles 90.00, 90.00, 90.00 degrees
Space group F-43m (No. 216)
One atom of each set of equivalent atoms:
Tm (0.0000, 0.0000, 0.0000) [4 per cell]
Cd (0.0000, 0.0000, 0.5000) [4 per cell]
Cu (0.2500, 0.2500, 0.2500) [4 per cell]

density of states at the Fermi level = 2.691 states/eV/f.u.
final energy = -3.2938 eV/atom